Entry from the Alexandria database: Dy6TlGe2Te3 after structural relaxation (GGA-PBE).

Cell: 18.898 4.246 8.754 Å, 90.00 104.63 90.00°
Space group C2/m (No. 12)
One atom of each set of equivalent atoms:
Dy 0.009 0.000 0.256
Dy 0.168 0.500 0.106
Dy 0.174 0.500 0.565
Tl 0.000 0.500 0.000
Ge 0.167 0.000 0.333
Te 0.000 0.500 0.500
Te 0.165 0.000 0.831

ΔE_f (raw) = -1202 kJ/mol of formula units

=====

Entry from the Alexandria database: Dy2Tl3GeTe6 after structural relaxation (GGA-PBE).

Cell: 20.454 4.385 9.480 Å, 90.00 107.87 90.00°
Space group C2/m (No. 12)
One atom of each set of equivalent atoms:
Dy 0.166 0.000 0.335
Tl 0.000 0.500 0.500
Tl 0.168 0.000 0.841
Ge 0.000 0.500 0.000
Te 0.007 0.000 0.226
Te 0.156 0.500 0.103
Te 0.175 0.500 0.569

ΔE_f (raw) = -843 kJ/mol of formula units

=====

Entry from the Alexandria database: DyTmGeTe after structural relaxation (GGA-PBE).

Cell: 4.2185 4.2185 21.1268 Å, 90.00 90.00 120.00°
Space group R3m (No. 160, hexagonal axes)
One atom of each set of equivalent atoms:
Dy 0.0000 0.0000 0.0000
Tm 0.0000 0.0000 0.5209
Ge 0.0000 0.0000 0.2595
Te 0.0000 0.0000 0.7617

ΔE_f (raw) = -448 kJ/mol of formula units

=====

Entry from the Alexandria database: DyYGeTe after structural relaxation (GGA-PBE).

Cell: 4.2275 4.2275 21.7642 Å, 90.00 90.00 120.00°
Space group R3m (No. 160, hexagonal axes)
One atom of each set of equivalent atoms:
Dy 0.0000 0.0000 0.0000
Y 0.0000 0.0000 0.1899
Ge 0.0000 0.0000 0.5968
Te 0.0000 0.0000 0.4270

ΔE_f (raw) = -437 kJ/mol of formula units

=====

Entry from the Alexandria database: DyThGe4 after structural relaxation (GGA-PBE).

Cell: 8.010 8.010 8.010 Å, 90.00 90.00 90.00°
Space group F-43m (No. 216)
One atom of each set of equivalent atoms:
Dy 0.000 0.000 0.000
Th 0.250 0.250 0.250
Ge 0.127 0.127 0.627

E_form = -290 meV/atom

=====

Entry from the Alexandria database: DyThGe2 after structural relaxation (GGA-PBE).

Cell: 4.126 5.912 8.019 Å, 90.00 90.00 90.00°
Space group Pmc2_1 (No. 26)
One atom of each set of equivalent atoms:
Dy 0.000 0.123 0.000
Th 0.500 0.374 0.363
Ge 0.000 0.397 0.639
Ge 0.500 0.106 0.724

E_form = -776 meV/atom

=====

Entry from the Alexandria database: DyTh4Ge5 after structural relaxation (GGA-PBE).

Cell: 4.270 6.051 21.359 Å, 90.00 90.00 90.00°
Space group Immm (No. 71)
One atom of each set of equivalent atoms:
Dy 0.000 0.000 0.000
Th 0.000 0.000 0.198
Th 0.000 0.000 0.401
Ge 0.000 0.500 0.000
Ge 0.000 0.500 0.200
Ge 0.000 0.500 0.403

E_form = -755 meV/atom

=====

Entry from the Alexandria database: DyThGe2 after structural relaxation (GGA-PBE).

Cell: 4.4002 4.4002 19.6225 Å, 90.00 90.00 120.00°
Space group R3m (No. 160, hexagonal axes)
One atom of each set of equivalent atoms:
Dy 0.0000 0.0000 0.0000
Th 0.0000 0.0000 0.1755
Ge 0.0000 0.0000 0.5953
Ge 0.0000 0.0000 0.7496

E_form = -596 meV/atom

=====

Entry from the Alexandria database: DyTh3Ge4 after structural relaxation (GGA-PBE).

Cell: 7.387 8.499 7.414 Å, 90.00 109.37 90.00°
Space group P2/c (No. 13)
One atom of each set of equivalent atoms:
Dy 0.000 0.125 0.250
Th 0.000 0.373 0.750
Th 0.500 0.124 0.750
Th 0.500 0.373 0.250
Ge 0.245 0.122 0.000
Ge 0.248 0.374 0.498

E_form = -747 meV/atom

=====

Entry from the Alexandria database: Dy2ThGe after structural relaxation (GGA-PBE).

Cell: 3.6195 3.6195 29.7924 Å, 90.00 90.00 120.00°
Space group R-3m (No. 166, hexagonal axes)
One atom of each set of equivalent atoms:
Dy 0.0000 0.0000 0.2370
Th 0.0000 0.0000 0.0000
Ge 0.0000 0.0000 0.5000

E_form = -224 meV/atom

=====

Entry from the Alexandria database: DyThGe after structural relaxation (GGA-PBE).

Cell: 4.8392 4.8392 4.0812 Å, 90.00 90.00 120.00°
Space group P3m1 (No. 156)
One atom of each set of equivalent atoms:
Dy 0.0000 0.0000 0.0000
Th 0.6667 0.3333 0.5111
Ge 0.3333 0.6667 0.1538

Relative energy among the computed polymorphs = 0.145 eV per atom
E_form = -215 meV/atom

=====

Entry from the Alexandria database: Dy2Th3Ge4 after structural relaxation (GGA-PBE).

Cell: 11.407 4.409 9.665 Å, 90.00 98.49 90.00°
Space group C2/m (No. 12)
One atom of each set of equivalent atoms:
Dy 0.177 0.000 0.305
Th 0.000 0.500 0.500
Th 0.129 0.000 0.901
Ge 0.081 0.500 0.118
Ge 0.165 0.000 0.606

E_form = -633 meV/atom

=====

Entry from the Alexandria database: DyThGe2 after structural relaxation (GGA-PBE).

Cell: 5.443 5.443 3.219 Å, 90.00 90.00 90.00°
Space group P4/mmm (No. 123)
One atom of each set of equivalent atoms:
Dy 0.000 0.000 0.000
Th 0.500 0.500 0.000
Ge 0.000 0.500 0.500

E_form = -608 meV/atom

=====

Entry from the Alexandria database: DyTh2Ge2 after structural relaxation (GGA-PBE).

Cell: 7.840 7.840 4.259 Å, 90.00 90.00 90.00°
Space group P4/mbm (No. 127)
One atom of each set of equivalent atoms:
Dy 0.000 0.000 0.000
Th 0.170 0.330 0.500
Ge 0.132 0.632 0.000

E_form = -725 meV/atom

=====

Entry from the Alexandria database: DyThGe after structural relaxation (GGA-PBE).

Cell: 3.867 3.867 10.537 Å, 90.00 90.00 90.00°
Space group I4mm (No. 107)
One atom of each set of equivalent atoms:
Dy 0.000 0.000 0.000
Th 0.000 0.000 0.290
Ge 0.000 0.000 0.632

Relative energy among the computed polymorphs = 0.000 eV per atom
E_form = -360 meV/atom

=====

Entry from the Alexandria database: Dy4ThGe4 after structural relaxation (GGA-PBE).

Cell: 9.307 9.307 5.806 Å, 90.00 90.00 90.00°
Space group I4/m (No. 87)
One atom of each set of equivalent atoms:
Dy 0.102 0.693 0.000
Th 0.000 0.000 0.500
Ge 0.105 0.701 0.500

E_form = -598 meV/atom

=====

Entry from the Alexandria database: DyTh5Ge6 after structural relaxation (GGA-PBE).

Cell: 7.415 12.833 7.409 Å, 90.00 109.49 90.00°
Space group C2/m (No. 12)
One atom of each set of equivalent atoms:
Dy 0.000 0.000 0.000
Th 0.000 0.168 0.500
Th 0.000 0.334 0.000
Th 0.000 0.500 0.500
Ge 0.247 0.000 0.751
Ge 0.247 0.165 0.247

E_form = -758 meV/atom

=====

Entry from the Alexandria database: DyThGe2 after structural relaxation (GGA-PBE).

Cell: 4.165 4.295 10.975 Å, 90.00 90.00 90.00°
Space group Amm2 (No. 38)
One atom of each set of equivalent atoms:
Dy 0.000 0.000 0.000
Th 0.500 0.000 0.725
Ge 0.000 0.000 0.275
Ge 0.500 0.000 0.451

E_form = -774 meV/atom

=====

Entry from the Alexandria database: DyTi3Ge2 after structural relaxation (GGA-PBE).

Cell: 16.139 3.964 8.196 Å, 90.00 117.91 90.00°
Space group C2/m (No. 12)
One atom of each set of equivalent atoms:
Dy 0.139 0.000 0.070
Ti 0.052 0.000 0.399
Ti 0.090 0.500 0.676
Ti 0.186 0.500 0.467
Ge 0.018 0.500 0.163
Ge 0.210 0.000 0.724

E_form = -526 meV/atom

=====

Entry from the Alexandria database: DyTi2Ge2 after structural relaxation (GGA-PBE).

Cell: 8.662 10.475 5.604 Å, 90.00 122.87 90.00°
Space group C2/c (No. 15)
One atom of each set of equivalent atoms:
Dy 0.000 0.115 0.250
Ti 0.163 0.393 0.978
Ge 0.000 0.173 0.750
Ge 0.000 0.388 0.250

E_form = -352 meV/atom

=====

Number 1: M_tot 0.000 μB per cell, electronic total energy -0.1871 hartree per atom. Number 2: M_tot 0.000 μB per cell, electronic total energy -0.1485 hartree per atom. Number 3: M_tot 0.000 μB per cell, electronic total energy -0.1973 hartree per atom. Number 4: M_tot 0.000 μB per cell, electronic total energy -0.2146 hartree per atom. Number 5: M_tot 0.000 μB per cell, electronic total energy -0.1974 hartree per atom. Number 6: M_tot 0.000 μB per cell, electronic total energy -0.2238 hartree per atom. Number 7: M_tot 0.000 μB per cell, electronic total energy -0.2386 hartree per atom. Number 8: M_tot 0.000 μB per cell, electronic total energy -0.2172 hartree per atom. Number 9: M_tot 0.000 μB per cell, electronic total energy -0.2357 hartree per atom. Number 10: M_tot 0.000 μB per cell, electronic total energy -0.2034 hartree per atom. Number 11: M_tot 0.000 μB per cell, electronic total energy -0.2117 hartree per atom. Number 12: M_tot 0.000 μB per cell, electronic total energy -0.2271 hartree per atom. Number 13: M_tot 0.129 μB per cell, electronic total energy -0.2176 hartree per atom. Number 14: M_tot 0.000 μB per cell, electronic total energy -0.2374 hartree per atom. Number 15: M_tot 0.001 μB per cell, electronic total energy -0.2171 hartree per atom. Number 16: M_tot 0.002 μB per cell, electronic total energy -0.2028 hartree per atom. Number 17: M_tot 0.000 μB per cell, electronic total energy -0.2404 hartree per atom. Number 18: M_tot 0.000 μB per cell, electronic total energy -0.2237 hartree per atom. Number 19: M_tot 0.001 μB per cell, electronic total energy -0.2492 hartree per atom. Number 20: M_tot 4.354 μB per cell, electronic total energy -0.2307 hartree per atom.